Entry 1:
DFT (PBE) results for a geometry-optimized Ac4Tb3ErBi8 structure.

```
Ac4Tb3ErBi8
1.0
9.369 0.000 0.000
0.000 9.358 -0.014
-4.685 -4.680 6.629
Bi Ac Er Tb
8 4 1 3
Cartesian
7.037 2.487 0.093 Bi
0.000 4.541 3.193 Bi
0.000 0.137 3.408 Bi
4.685 0.137 3.421 Bi
2.332 2.487 0.093 Bi
-2.352 2.191 6.521 Bi
4.685 4.541 3.207 Bi
2.352 2.191 6.521 Bi
2.342 -2.340 3.314 Ac
0.000 0.000 0.000 Ac
4.685 0.000 0.000 Ac
-2.342 -2.340 3.314 Ac
0.000 4.679 -0.007 Er
2.342 2.339 3.307 Tb
-2.342 2.339 3.307 Tb
4.685 4.679 -0.007 Tb
```

Calculated values
Uncorrected energy   -80.6 eV per cell
Energy relative to the elements   -0.916 eV/atom

=====

Entry 2:
DFT (PBE) results for a geometry-optimized Ac2ErBi2Te2 structure.

```
Ac2ErBi2Te2
1.0
-4.663 3.139 1.397
-0.067 -2.439 5.253
7.325 5.733 -0.438
Te Bi Er Ac
2 2 1 2
Cartesian
1.804 2.212 1.050 Te
0.791 4.221 5.163 Te
-2.332 1.569 0.699 Bi
-0.034 -1.219 2.627 Bi
0.000 0.000 0.000 Er
3.694 4.530 2.150 Ac
-1.099 1.903 4.063 Ac
```

Calculated values
Uncorrected energy   -32.7 eV per cell
Uncorrected formation energy   -5.850 eV/f.u.

=====

Entry 3:
DFT (PBE) results for a geometry-optimized AcErTh2Bi4 structure.

```
AcErTh2Bi4
1.0
-2.288 -0.611 -6.120
-3.458 -5.272 1.819
-2.197 6.789 3.661
Th Bi Ac Er
2 4 1 1
Cartesian
-4.264 -0.712 1.665 Th
-7.943 0.906 -0.639 Th
-1.179 -0.279 -3.049 Bi
-6.178 3.515 -1.559 Bi
-5.458 -0.979 -1.380 Bi
-2.484 1.885 0.740 Bi
-5.070 3.847 1.511 Ac
-3.679 1.618 -2.304 Er
```

Calculated values
Uncorrected energy   -44.6 eV per cell
Energy relative to the elements   -0.696 eV/atom

=====

Which of these has the highest uncorrected energy? Ac2ErBi2Te2

=====

The highest uncorrected energy belongs to which entry? Ac2ErBi2Te2